# BaNpSe3 (PBE-GGA, optimized geometry)
data_BaNpSe3
_chemical_formula_sum 'Ba4 Np4 Se12'
_symmetry_space_group_name_H-M 'P n m a'
_symmetry_Int_Tables_number 62
_symmetry_space_group_name_Hall '-P 2ac 2n'
_cell_length_a 9.2054
_cell_length_b 4.3076
_cell_length_c 15.3386
_cell_angle_alpha 90.00
_cell_angle_beta 90.00
_cell_angle_gamma 90.00
loop_
_atom_site_label
_atom_site_fract_x
_atom_site_fract_y
_atom_site_fract_z
Ba1 0.0685 0.2500 0.1784
Np1 0.1686 0.7500 0.4445
Se1 0.0188 0.7500 0.6052
Se2 0.1650 0.7500 0.0107
Se3 0.2060 0.2500 0.7825
# Magnetic moment in μB per cell: 12.0
# Formation energy from raw total energies in meV/atom: -1492


# BaNp2Se4 (PBE-GGA, optimized geometry)
data_BaNp2Se4
_chemical_formula_sum 'Ba4 Np8 Se16'
_symmetry_space_group_name_H-M 'C m c m'
_symmetry_Int_Tables_number 63
_symmetry_space_group_name_Hall '-C 2c 2'
_cell_length_a 4.2618
_cell_length_b 13.6888
_cell_length_c 14.2349
_cell_angle_alpha 90.00
_cell_angle_beta 90.00
_cell_angle_gamma 90.00
loop_
_atom_site_label
_atom_site_fract_x
_atom_site_fract_y
_atom_site_fract_z
Ba1 0.0000 0.1096 0.2500
Np1 0.0000 0.3678 0.0619
Se1 0.0000 0.0000 0.0000
Se2 0.0000 0.2647 0.6136
Se3 0.0000 0.4317 0.2500
# Magnetic moment in μB per cell: 32.0
# Formation energy from raw total energies in meV/atom: -1414


# BaNp3Se6 (PBE-GGA, optimized geometry)
data_BaNp3Se6
_chemical_formula_sum 'Ba2 Np6 Se12'
_symmetry_space_group_name_H-M 'P 1 21/m 1'
_symmetry_Int_Tables_number 11
_symmetry_space_group_name_Hall '-P 2yb'
_cell_length_a 12.2437
_cell_length_b 4.2598
_cell_length_c 12.4727
_cell_angle_alpha 90.00
_cell_angle_beta 110.38
_cell_angle_gamma 90.00
loop_
_atom_site_label
_atom_site_fract_x
_atom_site_fract_y
_atom_site_fract_z
Ba1 0.1144 0.2500 0.3682
Np1 0.1585 0.2500 0.0367
Np2 0.2701 0.7500 0.7266
Np3 0.4812 0.7500 0.3647
Se1 0.0652 0.7500 0.1407
Se2 0.1037 0.2500 0.6350
Se3 0.2432 0.7500 0.9415
Se4 0.3313 0.2500 0.2596
Se5 0.3465 0.7500 0.5258
Se6 0.4280 0.2500 0.8097
# Magnetic moment in μB per cell: 22.0
# Formation energy from raw total energies in meV/atom: -1283


# BaNp4Se8 (PBE-GGA, optimized geometry)
data_BaNp4Se8
_chemical_formula_sum 'Ba4 Np16 Se32'
_symmetry_space_group_name_H-M 'F -4 3 m'
_symmetry_Int_Tables_number 216
_symmetry_space_group_name_Hall 'F -4 2 3'
_cell_length_a 12.2365
_cell_length_b 12.2365
_cell_length_c 12.2365
_cell_angle_alpha 90.00
_cell_angle_beta 90.00
_cell_angle_gamma 90.00
loop_
_atom_site_label
_atom_site_fract_x
_atom_site_fract_y
_atom_site_fract_z
Ba1 0.0000 0.0000 0.0000
Np1 0.1211 0.1211 0.3789
Se1 0.1118 0.1118 0.6118
Se2 0.1446 0.1446 0.1446
# Magnetic moment in μB per cell: 56.0
# Relative energy among the computed polymorphs in meV per atom: 51
# Formation energy from raw total energies in meV/atom: -1206